1.
{"formula": "BaInSiRh2", "functional": "PBE", "state": "relaxed", "total_magnetization_mub_per_fu": 0.000, "formation_energy_uncorrected_ev_per_atom": 0.162, "n_ef_per_ev_cell": 3.17, "lattice_angstrom": [[4.608, 0.000, 0.000], [0.000, 5.872, 0.000], [0.000, 0.000, 4.608]], "species": ["Si", "Ba", "Rh", "In", "Rh"], "frac_coords": [[0.000, 0.000, 0.000], [0.000, 0.500, 0.000], [0.500, 0.000, 0.000], [0.500, 0.500, 0.500], [0.000, 0.000, 0.500]]}

2.
{"formula": "MnAsH2Ru", "functional": "PBE", "state": "relaxed", "total_magnetization_mub_per_fu": 3.525, "final_energy_ev_per_cell": -27.82, "n_ef_per_ev_cell": 2.94, "lattice_angstrom": [[3.438, 0.000, 0.000], [0.000, 5.413, 0.000], [0.000, 0.000, 3.438]], "species": ["As", "Ru", "H", "H", "Mn"], "frac_coords": [[0.500, 0.500, 0.500], [0.000, 0.500, 0.000], [0.000, 0.000, 0.500], [0.500, 0.000, 0.000], [0.000, 0.000, 0.000]]}

3.
{"formula": "BC2", "functional": "PBE", "state": "relaxed", "total_magnetization_mub_per_fu": 0.000, "polymorph_energy_ev_per_fu": 0.13, "formation_enthalpy_0k_ev_per_atom": 0.28, "n_ef_per_ev_cell": 1.75, "lattice_angstrom": [[5.786, 0.030, -1.313], [5.191, 2.557, -1.313], [0.011, 0.003, 5.298]], "species": ["C", "B", "C", "B", "C", "C", "C", "B", "B", "C", "C", "C"], "frac_coords": [[0.662, 0.662, 0.320], [0.998, 0.998, 0.994], [0.671, 0.671, 0.842], [0.585, 0.585, 0.547], [0.249, 0.249, 0.870], [0.921, 0.921, 0.222], [0.594, 0.594, 0.043], [0.353, 0.353, 0.127], [0.230, 0.230, 0.414], [0.334, 0.334, 0.671], [0.989, 0.989, 0.499], [0.913, 0.913, 0.700]]}